## RbGaBP2HO9 (PBEsol)

Data for RbGaBP2HO9 after structural relaxation. Values from VASP.

Quantum ESPRESSO input file:
```
&SYSTEM
  ibrav = 0, nat = 60, ntyp = 6
/
ATOMIC_SPECIES
Rb 85.47 Rb.upf
Ga 69.72 Ga.upf
B 10.81 B.upf
P 30.97 P.upf
H 1.01 H.upf
O 16.00 O.upf
CELL_PARAMETERS angstrom
9.3784 0.0000 0.0000
0.0000 8.4077 0.0000
-2.2527 0.0000 9.3063
ATOMIC_POSITIONS angstrom
Rb 1.6241 0.9223 0.5697
Rb 0.4978 3.2815 5.2229
Rb 6.6279 5.1262 4.0834
Rb 5.5015 7.4854 8.7366
Ga -0.2289 5.5226 8.7306
Ga 0.8975 7.0890 4.0775
Ga 6.2282 1.3187 5.2288
Ga 7.3546 2.8852 0.5757
B 1.5510 0.4578 6.5147
B 2.6774 3.7461 1.8616
B 4.4483 4.6616 7.4447
B 5.5746 7.9500 2.7916
P 0.1756 4.7147 1.9497
P -0.9507 7.8969 6.6029
P 2.2692 6.1898 6.7835
P 3.3956 6.4218 2.1304
P 3.7300 1.9859 7.1759
P 4.8564 2.2180 2.5228
P 8.0764 0.5108 2.7035
P 6.9500 3.6930 7.3566
H 2.5584 0.4889 4.6945
H 3.6848 3.7150 0.0414
H 3.4409 4.6928 9.2649
H 4.5672 7.9189 4.6118
O 0.5292 5.5334 0.7057
O -0.5972 7.0782 5.3589
O -1.0560 4.3617 7.4427
O 0.0703 8.2499 2.7896
O 0.1493 5.5280 3.2536
O -0.9770 7.0836 7.9068
O 0.1305 0.6330 6.8117
O 1.2569 3.5709 2.1585
O 1.6508 0.3581 5.0365
O 2.7771 3.8458 0.3833
O 1.9067 5.9525 5.3243
O 3.0330 6.6591 0.6711
O 1.4789 5.3010 7.7426
O 2.6053 7.3106 3.0894
O 3.2696 4.9181 2.5300
O 2.1432 7.6935 7.1831
O 2.2041 1.6836 6.9769
O 3.3305 2.5203 2.3237
O 3.7952 5.8874 6.9826
O 4.9215 6.7242 2.3294
O 4.9825 0.7142 2.1232
O 3.8561 3.4896 6.7763
O 4.5204 1.0971 6.2169
O 5.6467 3.1067 1.5637
O 4.0926 1.7486 8.6352
O 5.2190 2.4552 3.9820
O 4.3485 4.5620 8.9230
O 5.4749 8.0496 4.2698
O 5.8688 4.8369 7.1478
O 6.9951 7.7747 2.4946
O 8.1027 1.3241 1.3995
O 6.9763 2.8798 6.0527
O 7.0553 0.1578 6.5167
O 8.1817 4.0460 1.8636
O 7.7228 1.3295 3.9474
O 6.5965 2.8743 8.6006
```

## Properties
The magnetization comes out at 0.00 μB per atom. As for the space group: P2_1/c, No. 14. As for the crystal system: monoclinic. For the energy, the calculation gives -424.41 eV per cell.